# Sr2LiCoWO6 (PBE with a Hubbard U, relaxed)
data_Sr2LiCoWO6
_chemical_formula_sum 'Sr4 Li2 Co2 W2 O12'
_cell_length_a 10.974
_cell_length_b 5.514
_cell_length_c 5.306
_cell_angle_alpha 90.00
_cell_angle_beta 112.68
_cell_angle_gamma 90.00
_space_group_name_H-M_alt 'C 1 2/m 1'
_space_group_IT_number 12
loop_
_space_group_symop_operation_xyz
'x,y,z'
'-x,-y,-z'
'-x,y,-z'
'x,-y,z'
'x+1/2,y+1/2,z'
'-x+1/2,-y+1/2,-z'
'-x+1/2,y+1/2,-z'
'x+1/2,-y+1/2,z'
loop_
_atom_site_label
_atom_site_type_symbol
_atom_site_fract_x
_atom_site_fract_y
_atom_site_fract_z
Sr1 Sr 0.217 0.000 0.191
Li1 Li 0.000 0.500 0.500
Co1 Co 0.000 0.000 0.500
W1 W 0.000 0.500 0.000
O1 O 0.071 0.253 0.793
O2 O 0.170 0.500 0.299
# **N(E_F)**: 0.0 states/eV/cell
# **E_tot**: -6.46 eV per atom
# **Total magnetization**: 8.0 μB per cell